Entry 1:
A geometry-optimized Ca2Ni3Sb2 structure. Source: Alexandria, functional GGA-PBE.

Geometry as CIF:
```
data_Ca2Ni3Sb2
_chemical_formula_sum 'Ca2 Ni3 Sb2'
_space_group_name_H-M_alt 'P 1'
_space_group_IT_number 1
_cell_length_a 4.1736
_cell_length_b 5.8681
_cell_length_c 6.7053
_cell_angle_alpha 114.77
_cell_angle_beta 90.00
_cell_angle_gamma 110.83
loop_
_space_group_symop_operation_xyz
'x,y,z'
loop_
_atom_site_label
_atom_site_fract_x
_atom_site_fract_y
_atom_site_fract_z
Ca1 0.8617 0.7234 0.2409
Ca2 0.1383 0.2766 0.7591
Ni1 0.5000 0.0000 0.0000
Ni2 0.5931 0.1862 0.4237
Ni3 0.4069 0.8138 0.5763
Sb1 0.8513 0.7026 0.7456
Sb2 0.1487 0.2974 0.2544
```

Output
Formation energy from raw total energies, eV/f.u.: -3.09

Entry 2:
A geometry-optimized CaNiSb3 structure. Source: Alexandria, functional GGA-PBE.

Geometry as CIF:
```
data_CaNiSb3
_chemical_formula_sum 'Ca1 Ni1 Sb3'
_space_group_name_H-M_alt 'P 1'
_space_group_IT_number 1
_cell_length_a 5.6329
_cell_length_b 5.6329
_cell_length_c 5.6329
_cell_angle_alpha 90.00
_cell_angle_beta 90.00
_cell_angle_gamma 90.00
loop_
_space_group_symop_operation_xyz
'x,y,z'
loop_
_atom_site_label
_atom_site_fract_x
_atom_site_fract_y
_atom_site_fract_z
Sb1 0.0000 0.5000 0.0000
Sb2 0.0000 0.0000 0.5000
Sb3 0.5000 0.0000 0.0000
Ca1 0.0000 0.0000 0.0000
Ni1 0.5000 0.5000 0.5000
```

Output
Formation energy from raw total energies, eV/f.u.: 5.81

Entry 3:
A geometry-optimized CaNi2Sb structure. Source: Alexandria, functional GGA-PBE.

Geometry as CIF:
```
data_CaNi2Sb
_chemical_formula_sum 'Ca1 Ni2 Sb1'
_space_group_name_H-M_alt 'P 1'
_space_group_IT_number 1
_cell_length_a 4.6510
_cell_length_b 4.6510
_cell_length_c 4.6510
_cell_angle_alpha 60.00
_cell_angle_beta 60.00
_cell_angle_gamma 60.00
loop_
_space_group_symop_operation_xyz
'x,y,z'
loop_
_atom_site_label
_atom_site_fract_x
_atom_site_fract_y
_atom_site_fract_z
Sb1 0.7500 0.7500 0.7500
Ca1 0.5000 0.5000 0.5000
Ni1 0.0000 0.0000 0.0000
Ni2 0.2500 0.2500 0.2500
```

Output
Formation energy from raw total energies, eV/f.u.: 0.15

Entry 4:
A geometry-optimized CaNi3Sb structure. Source: Alexandria, functional GGA-PBE.

Geometry as CIF:
```
data_CaNi3Sb
_chemical_formula_sum 'Ca2 Ni6 Sb2'
_space_group_name_H-M_alt 'P 1'
_space_group_IT_number 1
_cell_length_a 5.0287
_cell_length_b 8.4818
_cell_length_c 6.5619
_cell_angle_alpha 130.26
_cell_angle_beta 112.53
_cell_angle_gamma 90.00
loop_
_space_group_symop_operation_xyz
'x,y,z'
loop_
_atom_site_label
_atom_site_fract_x
_atom_site_fract_y
_atom_site_fract_z
Ca1 0.2500 0.2910 0.5000
Ca2 0.7500 0.7090 0.5000
Ni1 0.7278 0.2278 0.9557
Ni2 0.2278 0.2278 0.9557
Ni3 0.7722 0.7722 0.0443
Ni4 0.2722 0.7722 0.0443
Ni5 0.2500 0.9267 0.5000
Ni6 0.7500 0.0733 0.5000
Sb1 0.0000 0.5000 0.0000
Sb2 0.5000 0.0000 0.0000
```

Output
Formation energy from raw total energies, eV/f.u.: -1.25

Entry 5:
A geometry-optimized Ca2Ni2Sb structure. Source: Alexandria, functional GGA-PBE.

Geometry as CIF:
```
data_Ca2Ni2Sb
_chemical_formula_sum 'Ca4 Ni4 Sb2'
_space_group_name_H-M_alt 'P 1'
_space_group_IT_number 1
_cell_length_a 6.8976
_cell_length_b 6.8976
_cell_length_c 4.3871
_cell_angle_alpha 90.00
_cell_angle_beta 90.00
_cell_angle_gamma 90.00
loop_
_space_group_symop_operation_xyz
'x,y,z'
loop_
_atom_site_label
_atom_site_fract_x
_atom_site_fract_y
_atom_site_fract_z
Sb1 0.0000 0.0000 0.0000
Sb2 0.5000 0.5000 0.0000
Ca1 0.1791 0.6791 0.5000
Ca2 0.6791 0.8209 0.5000
Ca3 0.8209 0.3209 0.5000
Ca4 0.3209 0.1791 0.5000
Ni1 0.3783 0.8783 0.0000
Ni2 0.8783 0.6217 0.0000
Ni3 0.6217 0.1217 0.0000
Ni4 0.1217 0.3783 0.0000
```

Output
Formation energy from raw total energies, eV/f.u.: -1.78

Entry 6:
A geometry-optimized Ca2Ni5Sb4 structure. Source: Alexandria, functional GGA-PBE.

Geometry as CIF:
```
data_Ca2Ni5Sb4
_chemical_formula_sum 'Ca2 Ni5 Sb4'
_space_group_name_H-M_alt 'P 1'
_space_group_IT_number 1
_cell_length_a 5.6931
_cell_length_b 5.8733
_cell_length_c 8.0280
_cell_angle_alpha 80.10
_cell_angle_beta 69.23
_cell_angle_gamma 61.01
loop_
_space_group_symop_operation_xyz
'x,y,z'
loop_
_atom_site_label
_atom_site_fract_x
_atom_site_fract_y
_atom_site_fract_z
Ca1 0.8635 0.0000 0.2730
Ca2 0.1365 0.0000 0.7270
Ni1 0.5000 0.0000 0.0000
Ni2 0.0000 0.5000 0.0000
Ni3 0.5000 0.5000 0.0000
Ni4 0.2500 0.5000 0.5000
Ni5 0.7500 0.5000 0.5000
Sb1 0.4687 0.3177 0.7450
Sb2 0.5313 0.6823 0.2550
Sb3 0.2137 0.3177 0.2550
Sb4 0.7863 0.6823 0.7450
```

Output
Formation energy from raw total energies, eV/f.u.: -3.72

Entry 7:
A geometry-optimized CaNi3Sb2 structure. Source: Alexandria, functional GGA-PBE.

Geometry as CIF:
```
data_CaNi3Sb2
_chemical_formula_sum 'Ca3 Ni9 Sb6'
_space_group_name_H-M_alt 'P 1'
_space_group_IT_number 1
_cell_length_a 4.1118
_cell_length_b 8.3988
_cell_length_c 10.0210
_cell_angle_alpha 103.38
_cell_angle_beta 90.00
_cell_angle_gamma 104.17
loop_
_space_group_symop_operation_xyz
'x,y,z'
loop_
_atom_site_label
_atom_site_fract_x
_atom_site_fract_y
_atom_site_fract_z
Ca1 0.1604 0.3207 0.7108
Ca2 0.8396 0.6793 0.2892
Ca3 0.0000 0.0000 0.0000
Ni1 0.0502 0.1003 0.3670
Ni2 0.9498 0.8997 0.6330
Ni3 0.2060 0.4121 0.3597
Ni4 0.7940 0.5879 0.6403
Ni5 0.6318 0.2637 0.2032
Ni6 0.3682 0.7363 0.7968
Ni7 0.5000 0.0000 0.5000
Ni8 0.3450 0.6900 0.0427
Ni9 0.6550 0.3100 0.9573
Sb1 0.2007 0.4014 0.1064
Sb2 0.7993 0.5986 0.8936
Sb3 0.4775 0.9551 0.2330
Sb4 0.5225 0.0449 0.7670
Sb5 0.3472 0.6944 0.5351
Sb6 0.6528 0.3056 0.4649
```

Output
Formation energy from raw total energies, eV/f.u.: -2.55

Entry 8:
A geometry-optimized CaNiSb3 structure. Source: Alexandria, functional GGA-PBE.

Geometry as CIF:
```
data_CaNiSb3
_chemical_formula_sum 'Ca1 Ni1 Sb3'
_space_group_name_H-M_alt 'P 1'
_space_group_IT_number 1
_cell_length_a 5.1043
_cell_length_b 5.1043
_cell_length_c 5.1043
_cell_angle_alpha 90.00
_cell_angle_beta 90.00
_cell_angle_gamma 90.00
loop_
_space_group_symop_operation_xyz
'x,y,z'
loop_
_atom_site_label
_atom_site_fract_x
_atom_site_fract_y
_atom_site_fract_z
Sb1 0.0000 0.5000 0.0000
Sb2 0.0000 0.0000 0.5000
Sb3 0.5000 0.0000 0.0000
Ca1 0.5000 0.5000 0.5000
Ni1 0.0000 0.0000 0.0000
```

Output
Formation energy from raw total energies, eV/f.u.: -0.60